BaLi2HfBr8 | GGA-PBE | relaxed

Cell lengths 6.8268, 7.4684, 9.1909 Å; angles 67.51, 90.14, 98.44 degrees
Fractional coordinates of all 12 atoms:
Ba 0.0000 0.0000 0.5000
Br 0.5773 0.7216 0.5579
Br 0.1324 0.7898 0.8623
Br 0.8892 0.2410 0.7230
Br 0.8676 0.2102 0.1377
Li 0.5270 0.3511 0.6783
Br 0.4227 0.2784 0.4421
Br 0.6568 0.7763 0.0496
Hf 0.0000 0.0000 0.0000
Br 0.1108 0.7590 0.2770
Li 0.4730 0.6489 0.3217
Br 0.3432 0.2237 0.9504

Output
* space group: P-1 (2)
* total moment: 0.0000 μB per atom
* crystal system: triclinic
* formation energy without anion corrections: -1.62 eV/atom

***

SrMn2Sb | GGA-PBE | relaxed

Cell lengths 3.7114, 3.7092, 7.0905 Å; angles 90.00, 90.00, 90.00 degrees
Fractional coordinates of all 4 atoms:
Sb 0.5000 0.5000 0.2500
Mn 0.0000 0.0000 0.0677
Mn 0.0000 0.0000 0.4323
Sr 0.5000 0.5000 0.7500

Output
* space group: P4/mmm (123)
* total moment: 1.9276 μB per atom
* crystal system: tetragonal
* formation energy without anion corrections: 0.33 eV/atom

***

LiTa2Se | GGA-PBE | relaxed

Cell lengths 9.3058, 9.3058, 9.3058 Å; angles 18.81, 18.81, 18.81 degrees
Fractional coordinates of all 4 atoms:
Li 0.2500 0.2500 0.2500
Se 0.7500 0.7500 0.7500
Ta 0.4908 0.4908 0.4908
Ta 0.0092 0.0092 0.0092

Output
* space group: R-3m (166)
* total moment: 0.0000 μB per atom
* crystal system: trigonal
* formation energy without anion corrections: 0.28 eV/atom

***

U3Fe4Si4 | GGA-PBE | relaxed

Cell lengths 3.9694, 5.7494, 8.0579 Å; angles 90.00, 90.00, 110.19 degrees
Fractional coordinates of all 11 atoms:
Fe 0.0906 0.1813 0.7520
Si 0.9693 0.9385 0.0000
Fe 0.5786 0.1572 0.0000
Fe 0.0906 0.1813 0.2480
Fe 0.5976 0.1951 0.5000
Si 0.7012 0.4024 0.2471
U 0.4053 0.8107 0.2696
U 0.2652 0.5304 0.0000
U 0.4053 0.8107 0.7304
Si 0.9934 0.9868 0.5000
Si 0.7012 0.4024 0.7529

Output
* space group: Amm2 (38)
* total moment: 0.0188 μB per atom
* crystal system: orthorhombic
* formation energy without anion corrections: -0.36 eV/atom

***

HfBO | GGA-PBE | relaxed

Cell lengths 3.5550, 3.5550, 6.7522 Å; angles 86.45, 86.45, 55.58 degrees
Fractional coordinates of all 6 atoms:
O 0.1495 0.1495 0.6118
Hf 0.2153 0.2153 0.2663
B 0.2475 0.7525 0.0000
Hf 0.7847 0.7847 0.7337
O 0.8505 0.8505 0.3882
B 0.7525 0.2475 0.0000

Output
* space group: C2/m (12)
* total moment: 0.0000 μB per atom
* crystal system: monoclinic
* formation energy without anion corrections: -1.59 eV/atom

***

Sr2TiTcC | GGA-PBE | relaxed

Cell lengths 6.1534, 4.2987, 6.1534 Å; angles 90.00, 90.00, 90.00 degrees
Fractional coordinates of all 5 atoms:
Ti 0.0000 0.0000 0.0000
Tc 0.0000 0.5000 0.0000
Sr 0.5000 0.0000 0.0000
Sr 0.0000 0.0000 0.5000
C 0.5000 0.5000 0.5000

Output
* space group: P4/mmm (123)
* total moment: 0.2383 μB per atom
* energy of formation: 9.02 eV/f.u.
* crystal system: tetragonal